1.
# SrRuC, relaxed, DFT GGA-PBE
data_SrRuC
_chemical_formula_sum 'Sr1 Ru1 C1'
_cell_length_a 3.5174
_cell_length_b 3.5174
_cell_length_c 4.8776
_cell_angle_alpha 90.00
_cell_angle_beta 90.00
_cell_angle_gamma 120.00
_space_group_name_H-M_alt 'P -6 m 2'
_space_group_IT_number 187
_space_group_name_Hall 'P -6 2'
loop_
_atom_site_label
_atom_site_type_symbol
_atom_site_fract_x
_atom_site_fract_y
_atom_site_fract_z
Sr1 Sr 0.0000 0.0000 0.0000
Ru1 Ru 0.6667 0.3333 0.5000
C1 C 0.3333 0.6667 0.5000
# - DOS(E_F): 1.5 states/eV/f.u.
# - Distance to the lowest polymorph of the same formula: 31 kJ/mol of formula units
# - E_form: 0.2105 eV/atom
# - Uncorrected energy: -6.517 eV/atom

2.
# Er2Ni2Bi, relaxed, DFT GGA-PBE
data_Er2Ni2Bi
_chemical_formula_sum 'Er6 Ni6 Bi3'
_cell_length_a 4.7756
_cell_length_b 4.7756
_cell_length_c 15.4688
_cell_angle_alpha 90.00
_cell_angle_beta 90.00
_cell_angle_gamma 120.00
_space_group_name_H-M_alt 'R -3 m'
_space_group_IT_number 166
_space_group_name_Hall '-R 3 2"'
loop_
_atom_site_label
_atom_site_type_symbol
_atom_site_fract_x
_atom_site_fract_y
_atom_site_fract_z
Er1 Er 0.0000 0.0000 0.2312
Ni1 Ni 0.0000 0.0000 0.4216
Bi1 Bi 0.0000 0.0000 0.0000
# - DOS(E_F): 3.3 states/eV/f.u.
# - E_form: -0.3672 eV/atom
# - Uncorrected energy: -5.281 eV/atom

3.
# K2CdSn4Au3, relaxed, DFT GGA-PBE
data_K2CdSn4Au3
_chemical_formula_sum 'K2 Cd1 Sn4 Au3'
_cell_length_a 4.797
_cell_length_b 4.797
_cell_length_c 11.870
_cell_angle_alpha 90.00
_cell_angle_beta 90.00
_cell_angle_gamma 90.00
_space_group_name_H-M_alt 'P -4 m 2'
_space_group_IT_number 115
_space_group_name_Hall 'P -4 -2'
loop_
_atom_site_label
_atom_site_type_symbol
_atom_site_fract_x
_atom_site_fract_y
_atom_site_fract_z
K1 K 0.000 0.500 0.247
Cd1 Cd 0.500 0.500 0.000
Sn1 Sn 0.000 0.000 0.500
Sn2 Sn 0.000 0.500 0.863
Sn3 Sn 0.500 0.500 0.500
Au1 Au 0.000 0.000 0.000
Au2 Au 0.000 0.500 0.631
# - DOS(E_F): 4.9 states/eV/f.u.
# - E_form: -0.2616 eV/atom
# - Uncorrected energy: -3.157 eV/atom

4.
# Pm2BeNi2, relaxed, DFT GGA-PBE
data_Pm2BeNi2
_chemical_formula_sum 'Pm8 Be4 Ni8'
_cell_length_a 9.112
_cell_length_b 5.511
_cell_length_c 7.535
_cell_angle_alpha 90.00
_cell_angle_beta 103.29
_cell_angle_gamma 90.00
_space_group_name_H-M_alt 'C 1 2/c 1'
_space_group_IT_number 15
_space_group_name_Hall '-C 2yc'
loop_
_atom_site_label
_atom_site_type_symbol
_atom_site_fract_x
_atom_site_fract_y
_atom_site_fract_z
Pm1 Pm 0.153 0.126 0.152
Be1 Be 0.000 0.386 0.750
Ni1 Ni 0.121 0.377 0.507
# - DOS(E_F): 4.0 states/eV/f.u.
# - E_form: -0.2492 eV/atom
# - Uncorrected energy: -5.207 eV/atom

5.
# Tc2AgMo, relaxed, DFT GGA-PBE
data_Tc2AgMo
_chemical_formula_sum 'Tc8 Ag4 Mo4'
_cell_length_a 6.293
_cell_length_b 6.293
_cell_length_c 6.293
_cell_angle_alpha 90.00
_cell_angle_beta 90.00
_cell_angle_gamma 90.00
_space_group_name_H-M_alt 'F m -3 m'
_space_group_IT_number 225
_space_group_name_Hall '-F 4 2 3'
loop_
_atom_site_label
_atom_site_type_symbol
_atom_site_fract_x
_atom_site_fract_y
_atom_site_fract_z
Tc1 Tc 0.250 0.250 0.250
Ag1 Ag 0.000 0.000 0.000
Mo1 Mo 0.000 0.000 0.500
# - DOS(E_F): 3.4 states/eV/f.u.
# - Distance to the lowest polymorph of the same formula: 90 kJ/mol of formula units
# - E_form: 0.5027 eV/atom
# - Uncorrected energy: -8.101 eV/atom

6.
# Fe2SnBr8, relaxed, DFT GGA-PBE
data_Fe2SnBr8
_chemical_formula_sum 'Fe4 Sn2 Br16'
_cell_length_a 13.415
_cell_length_b 9.904
_cell_length_c 6.776
_cell_angle_alpha 90.00
_cell_angle_beta 97.68
_cell_angle_gamma 90.00
_space_group_name_H-M_alt 'C 1 2/m 1'
_space_group_IT_number 12
_space_group_name_Hall '-C 2y'
loop_
_atom_site_label
_atom_site_type_symbol
_atom_site_fract_x
_atom_site_fract_y
_atom_site_fract_z
Fe1 Fe 0.196 0.000 0.148
Sn1 Sn 0.000 0.000 0.500
Br1 Br 0.107 0.189 0.260
Br2 Br 0.137 0.500 0.719
Br3 Br 0.189 0.000 0.795
# - Formation energy (no corrections): -564 meV/atom
# - Uncorrected energy: -3.683 eV/atom

7.
# NpI3Br, relaxed, DFT GGA-PBE
data_NpI3Br
_chemical_formula_sum 'Np2 I6 Br2'
_cell_length_a 4.457
_cell_length_b 11.859
_cell_length_c 9.574
_cell_angle_alpha 90.00
_cell_angle_beta 103.45
_cell_angle_gamma 90.00
_space_group_name_H-M_alt 'P 1 21/m 1'
_space_group_IT_number 11
_space_group_name_Hall '-P 2yb'
loop_
_atom_site_label
_atom_site_type_symbol
_atom_site_fract_x
_atom_site_fract_y
_atom_site_fract_z
Np1 Np 0.120 0.250 0.238
I1 I 0.036 0.750 0.074
I2 I 0.381 0.571 0.764
Br1 Br 0.263 0.250 0.524
# - DOS(E_F): 11.8 states/eV/f.u.
# - Distance to the lowest polymorph of the same formula: 0 kJ/mol of formula units
# - Formation energy (no corrections): -848 meV/atom
# - Uncorrected energy: -4.701 eV/atom

8.
# BaCoBr2, relaxed, DFT GGA-PBE
data_BaCoBr2
_chemical_formula_sum 'Ba1 Co1 Br2'
_cell_length_a 4.685
_cell_length_b 4.361
_cell_length_c 6.366
_cell_angle_alpha 90.00
_cell_angle_beta 111.51
_cell_angle_gamma 90.00
_space_group_name_H-M_alt 'P 1 m 1'
_space_group_IT_number 6
_space_group_name_Hall 'P -2y'
loop_
_atom_site_label
_atom_site_type_symbol
_atom_site_fract_x
_atom_site_fract_y
_atom_site_fract_z
Ba1 Ba 0.000 0.000 0.000
Co1 Co 0.623 0.500 0.244
Br1 Br 0.413 0.500 0.826
Br2 Br 0.696 0.000 0.394
# - DOS(E_F): 3.1 states/eV/f.u.
# - Distance to the lowest polymorph of the same formula: 0 kJ/mol of formula units
# - Formation energy (no corrections): -792 meV/atom
# - Uncorrected energy: -3.886 eV/atom

9.
# YGa3Br, relaxed, DFT GGA-PBE
data_YGa3Br
_chemical_formula_sum 'Y1 Ga3 Br1'
_cell_length_a 5.232
_cell_length_b 5.232
_cell_length_c 5.232
_cell_angle_alpha 90.00
_cell_angle_beta 90.00
_cell_angle_gamma 90.00
_space_group_name_H-M_alt 'P m -3 m'
_space_group_IT_number 221
_space_group_name_Hall '-P 4 2 3'
loop_
_atom_site_label
_atom_site_type_symbol
_atom_site_fract_x
_atom_site_fract_y
_atom_site_fract_z
Y1 Y 0.000 0.000 0.000
Ga1 Ga 0.000 0.500 0.500
Br1 Br 0.500 0.500 0.500
# - DOS(E_F): 2.5 states/eV/f.u.
# - Distance to the lowest polymorph of the same formula: 0 kJ/mol of formula units
# - Formation energy (no corrections): 317 meV/atom
# - Uncorrected energy: -3.127 eV/atom

10.
# SrAgIr2, relaxed, DFT GGA-PBE
data_SrAgIr2
_chemical_formula_sum 'Sr1 Ag1 Ir2'
_cell_length_a 2.864
_cell_length_b 4.850
_cell_length_c 5.640
_cell_angle_alpha 90.00
_cell_angle_beta 100.05
_cell_angle_gamma 90.00
_space_group_name_H-M_alt 'P 1 2/m 1'
_space_group_IT_number 10
_space_group_name_Hall '-P 2y'
loop_
_atom_site_label
_atom_site_type_symbol
_atom_site_fract_x
_atom_site_fract_y
_atom_site_fract_z
Sr1 Sr 0.000 0.000 0.000
Ag1 Ag 0.500 0.000 0.500
Ir1 Ir 0.317 0.500 0.702
# - DOS(E_F): 4.5 states/eV/f.u.
# - Distance to the lowest polymorph of the same formula: 65 kJ/mol of formula units
# - E_form: 0.3575 eV/atom
# - Uncorrected energy: -5.206 eV/atom

11.
# Pm5MgSi4, relaxed, DFT GGA-PBE
data_Pm5MgSi4
_chemical_formula_sum 'Pm5 Mg1 Si4'
_cell_length_a 3.832
_cell_length_b 3.832
_cell_length_c 16.763
_cell_angle_alpha 90.00
_cell_angle_beta 90.00
_cell_angle_gamma 90.00
_space_group_name_H-M_alt 'P 4/m m m'
_space_group_IT_number 123
_space_group_name_Hall '-P 4 2'
loop_
_atom_site_label
_atom_site_type_symbol
_atom_site_fract_x
_atom_site_fract_y
_atom_site_fract_z
Pm1 Pm 0.000 0.000 0.000
Pm2 Pm 0.000 0.000 0.191
Pm3 Pm 0.000 0.000 0.385
Mg1 Mg 0.500 0.500 0.500
Si1 Si 0.500 0.500 0.079
Si2 Si 0.500 0.500 0.294
# - DOS(E_F): 9.8 states/eV/f.u.
# - Formation energy (no corrections): -373 meV/atom
# - Uncorrected energy: -5.077 eV/atom

12.
# DyZnCd2, relaxed, DFT GGA-PBE
data_DyZnCd2
_chemical_formula_sum 'Dy4 Zn4 Cd8'
_cell_length_a 7.022
_cell_length_b 7.022
_cell_length_c 7.022
_cell_angle_alpha 90.00
_cell_angle_beta 90.00
_cell_angle_gamma 90.00
_space_group_name_H-M_alt 'F m -3 m'
_space_group_IT_number 225
_space_group_name_Hall '-F 4 2 3'
loop_
_atom_site_label
_atom_site_type_symbol
_atom_site_fract_x
_atom_site_fract_y
_atom_site_fract_z
Dy1 Dy 0.000 0.000 0.000
Zn1 Zn 0.000 0.000 0.500
Cd1 Cd 0.250 0.250 0.250
# - DOS(E_F): 2.4 states/eV/f.u.
# - E_form: -0.1867 eV/atom
# - Uncorrected energy: -2.113 eV/atom

13.
# NaS5N, relaxed, DFT GGA-PBE
data_NaS5N
_chemical_formula_sum 'Na1 S5 N1'
_cell_length_a 4.173
_cell_length_b 7.245
_cell_length_c 7.305
_cell_angle_alpha 76.40
_cell_angle_beta 75.61
_cell_angle_gamma 89.84
_space_group_name_H-M_alt 'P 1'
_space_group_IT_number 1
_space_group_name_Hall 'P 1'
loop_
_atom_site_label
_atom_site_type_symbol
_atom_site_fract_x
_atom_site_fract_y
_atom_site_fract_z
Na1 Na 0.000 0.000 0.000
S1 S 0.333 0.627 0.766
S2 S 0.564 0.399 0.994
S3 S 0.565 0.864 0.756
S4 S 0.594 0.569 0.455
S5 S 0.987 0.739 0.373
N1 N 0.488 0.190 0.017
# - DOS(E_F): 3.3 states/eV/f.u.
# - Formation energy (no corrections): 108 meV/atom
# - Uncorrected energy: -4.218 eV/atom

14.
# KTi3Fe, relaxed, DFT GGA-PBE
data_KTi3Fe
_chemical_formula_sum 'K1 Ti3 Fe1'
_cell_length_a 4.712
_cell_length_b 4.712
_cell_length_c 4.712
_cell_angle_alpha 90.00
_cell_angle_beta 90.00
_cell_angle_gamma 90.00
_space_group_name_H-M_alt 'P m -3 m'
_space_group_IT_number 221
_space_group_name_Hall '-P 4 2 3'
loop_
_atom_site_label
_atom_site_type_symbol
_atom_site_fract_x
_atom_site_fract_y
_atom_site_fract_z
K1 K 0.000 0.000 0.000
Ti1 Ti 0.000 0.500 0.500
Fe1 Fe 0.500 0.500 0.500
# - DOS(E_F): 6.1 states/eV/f.u.
# - Distance to the lowest polymorph of the same formula: 0 kJ/mol of formula units
# - E_form: 0.6489 eV/atom
# - Uncorrected energy: -6.000 eV/atom

15.
# AlCu3Ni, relaxed, DFT GGA-PBE
data_AlCu3Ni
_chemical_formula_sum 'Al1 Cu3 Ni1'
_cell_length_a 4.360
_cell_length_b 4.360
_cell_length_c 4.360
_cell_angle_alpha 90.00
_cell_angle_beta 90.00
_cell_angle_gamma 90.00
_space_group_name_H-M_alt 'P m -3 m'
_space_group_IT_number 221
_space_group_name_Hall '-P 4 2 3'
loop_
_atom_site_label
_atom_site_type_symbol
_atom_site_fract_x
_atom_site_fract_y
_atom_site_fract_z
Al1 Al 0.000 0.000 0.000
Cu1 Cu 0.000 0.500 0.500
Ni1 Ni 0.500 0.500 0.500
# - DOS(E_F): 3.5 states/eV/f.u.
# - Distance to the lowest polymorph of the same formula: 407 kJ/mol of formula units
# - E_form: 0.7549 eV/atom
# - Uncorrected energy: -3.608 eV/atom

16.
# BaAlBiS4, relaxed, DFT GGA-PBE
data_BaAlBiS4
_chemical_formula_sum 'Ba2 Al2 Bi2 S8'
_cell_length_a 6.788
_cell_length_b 6.859
_cell_length_c 8.502
_cell_angle_alpha 90.00
_cell_angle_beta 107.82
_cell_angle_gamma 90.00
_space_group_name_H-M_alt 'P 1 21/m 1'
_space_group_IT_number 11
_space_group_name_Hall '-P 2yb'
loop_
_atom_site_label
_atom_site_type_symbol
_atom_site_fract_x
_atom_site_fract_y
_atom_site_fract_z
Ba1 Ba 0.236 0.250 0.442
Al1 Al 0.262 0.750 0.180
Bi1 Bi 0.274 0.250 0.970
S1 S 0.055 0.750 0.917
S2 S 0.068 0.750 0.350
S3 S 0.485 0.003 0.226
# - DOS(E_F): 0.0 states/eV/f.u.
# - Formation energy (no corrections): -1138 meV/atom
# - Uncorrected energy: -4.861 eV/atom

17.
# NaCaTeS2, relaxed, DFT GGA-PBE
data_NaCaTeS2
_chemical_formula_sum 'Na1 Ca1 Te1 S2'
_cell_length_a 4.921
_cell_length_b 4.921
_cell_length_c 5.449
_cell_angle_alpha 90.00
_cell_angle_beta 90.00
_cell_angle_gamma 90.00
_space_group_name_H-M_alt 'P 4/m m m'
_space_group_IT_number 123
_space_group_name_Hall '-P 4 2'
loop_
_atom_site_label
_atom_site_type_symbol
_atom_site_fract_x
_atom_site_fract_y
_atom_site_fract_z
Na1 Na 0.000 0.000 0.000
Ca1 Ca 0.000 0.000 0.500
Te1 Te 0.500 0.500 0.500
S1 S 0.000 0.500 0.000
# - DOS(E_F): 3.7 states/eV/f.u.
# - Formation energy (no corrections): 21 meV/atom
# - Uncorrected energy: -2.922 eV/atom

18.
# DyY3Tm7, relaxed, DFT GGA-PBE
data_DyY3Tm7
_chemical_formula_sum 'Dy1 Y3 Tm7'
_cell_length_a 6.918
_cell_length_b 5.462
_cell_length_c 9.830
_cell_angle_alpha 90.00
_cell_angle_beta 110.13
_cell_angle_gamma 90.00
_space_group_name_H-M_alt 'P 1 2/m 1'
_space_group_IT_number 10
_space_group_name_Hall '-P 2y'
loop_
_atom_site_label
_atom_site_type_symbol
_atom_site_fract_x
_atom_site_fract_y
_atom_site_fract_z
Dy1 Dy 0.000 0.000 0.000
Y1 Y 0.222 0.500 0.503
Y2 Y 0.500 0.000 0.000
Tm1 Tm 0.080 0.000 0.669
Tm2 Tm 0.180 0.500 0.859
Tm3 Tm 0.351 0.500 0.208
Tm4 Tm 0.500 0.000 0.500
# - DOS(E_F): 20.3 states/eV/f.u.
# - Distance to the lowest polymorph of the same formula: 0 kJ/mol of formula units
# - E_form: 0.1698 eV/atom
# - Uncorrected energy: -4.857 eV/atom

19.
# Ho6In2Ir, relaxed, DFT GGA-PBE
data_Ho6In2Ir
_chemical_formula_sum 'Ho12 In4 Ir2'
_cell_length_a 3.845
_cell_length_b 14.828
_cell_length_c 8.624
_cell_angle_alpha 90.00
_cell_angle_beta 90.00
_cell_angle_gamma 90.00
_space_group_name_H-M_alt 'A m m 2'
_space_group_IT_number 38
_space_group_name_Hall 'A 2 -2'
loop_
_atom_site_label
_atom_site_type_symbol
_atom_site_fract_x
_atom_site_fract_y
_atom_site_fract_z
Ho1 Ho 0.000 0.000 0.000
Ho2 Ho 0.000 0.120 0.631
Ho3 Ho 0.500 0.000 0.360
Ho4 Ho 0.500 0.194 0.947
In1 In 0.000 0.168 0.253
Ir1 Ir 0.500 0.000 0.761
# - DOS(E_F): 10.1 states/eV/f.u.
# - Distance to the lowest polymorph of the same formula: 0 kJ/mol of formula units
# - E_form: -0.4751 eV/atom
# - Uncorrected energy: -5.120 eV/atom

20.
# La2AgO4, relaxed, DFT GGA-PBE
data_La2AgO4
_chemical_formula_sum 'La4 Ag2 O8'
_cell_length_a 4.187
_cell_length_b 4.187
_cell_length_c 12.418
_cell_angle_alpha 90.00
_cell_angle_beta 90.00
_cell_angle_gamma 90.00
_space_group_name_H-M_alt 'I 4/m m m'
_space_group_IT_number 139
_space_group_name_Hall '-I 4 2'
loop_
_atom_site_label
_atom_site_type_symbol
_atom_site_fract_x
_atom_site_fract_y
_atom_site_fract_z
La1 La 0.000 0.000 0.152
Ag1 Ag 0.000 0.000 0.500
O1 O 0.000 0.500 0.000
O2 O 0.000 0.500 0.250
# - DOS(E_F): 1.4 states/eV/f.u.
# - Distance to the lowest polymorph of the same formula: 0 kJ/mol of formula units
# - Formation energy (no corrections): -2498 meV/atom
# - Uncorrected energy: -7.146 eV/atom